(1)
This record from the Alexandria database describes crystalline YZrMn2 at its relaxed geometry. The functional is PBE-GGA.

Results
ΔE_f: 0.0968 eV/atom
Calculated density: 6.2 g/cm³

Cell and atoms, written as CIF:
```
data_YZrMn2
_chemical_formula_sum 'Y1 Zr1 Mn2'
_space_group_name_H-M_alt 'P 4/m m m'
_space_group_IT_number 123
_space_group_name_Hall '-P 4 2'
_cell_length_a 3.400
_cell_length_b 3.400
_cell_length_c 6.740
_cell_angle_alpha 90.00
_cell_angle_beta 90.00
_cell_angle_gamma 90.00
loop_
_atom_site_label
_atom_site_fract_x
_atom_site_fract_y
_atom_site_fract_z
Y1 0.000 0.000 0.000
Zr1 0.000 0.000 0.500
Mn1 0.500 0.500 0.292
```

(2)
This record from the Alexandria database describes crystalline YZr2Mn at its relaxed geometry. The functional is PBE-GGA.

Results
ΔE_f: 0.3273 eV/atom
Calculated density: 5.9 g/cm³
Energy above the lowest structure with this stoichiometry: 249 meV per atom

Cell and atoms, written as CIF:
```
data_YZr2Mn
_chemical_formula_sum 'Y2 Zr4 Mn2'
_space_group_name_H-M_alt 'C 1 2/m 1'
_space_group_IT_number 12
_cell_length_a 6.017
_cell_length_b 10.777
_cell_length_c 3.163
_cell_angle_alpha 90.00
_cell_angle_beta 117.34
_cell_angle_gamma 90.00
loop_
_space_group_symop_operation_xyz
'x,y,z'
'-x,-y,-z'
'-x,y,-z'
'x,-y,z'
'x+1/2,y+1/2,z'
'-x+1/2,-y+1/2,-z'
'-x+1/2,y+1/2,-z'
'x+1/2,-y+1/2,z'
loop_
_atom_site_label
_atom_site_fract_x
_atom_site_fract_y
_atom_site_fract_z
Y1 0.000 0.000 0.000
Zr1 0.250 0.250 0.500
Mn1 0.000 0.500 0.000
```

(3)
This record from the Alexandria database describes crystalline YZr2Mn at its relaxed geometry. The functional is PBE-GGA.

Results
ΔE_f: 0.2487 eV/atom
Calculated density: 5.9 g/cm³
Energy above the lowest structure with this stoichiometry: 170 meV per atom

Cell and atoms, written as CIF:
```
data_YZr2Mn
_chemical_formula_sum 'Y1 Zr2 Mn1'
_space_group_name_H-M_alt 'P 4/m m m'
_space_group_IT_number 123
_space_group_name_Hall '-P 4 2'
_cell_length_a 4.427
_cell_length_b 4.427
_cell_length_c 4.649
_cell_angle_alpha 90.00
_cell_angle_beta 90.00
_cell_angle_gamma 90.00
loop_
_atom_site_label
_atom_site_fract_x
_atom_site_fract_y
_atom_site_fract_z
Y1 0.000 0.000 0.000
Zr1 0.000 0.500 0.500
Mn1 0.500 0.500 0.000
```

(4)
This record from the Alexandria database describes crystalline YZrMn2 at its relaxed geometry. The functional is PBE-GGA.

Results
ΔE_f: 0.8060 eV/atom
Calculated density: 6.5 g/cm³

Cell and atoms, written as CIF:
```
data_YZrMn2
_chemical_formula_sum 'Y4 Zr4 Mn8'
_space_group_name_H-M_alt 'I -4 2 d'
_space_group_IT_number 122
_space_group_name_Hall 'I -4 2bw'
_cell_length_a 7.122
_cell_length_b 7.122
_cell_length_c 5.825
_cell_angle_alpha 90.00
_cell_angle_beta 90.00
_cell_angle_gamma 90.00
loop_
_atom_site_label
_atom_site_fract_x
_atom_site_fract_y
_atom_site_fract_z
Y1 0.000 0.000 0.000
Zr1 0.000 0.000 0.500
Mn1 0.231 0.250 0.625
```

(5)
This record from the Alexandria database describes crystalline YZr2Mn at its relaxed geometry. The functional is PBE-GGA.

Results
ΔE_f: 0.2976 eV/atom
Calculated density: 5.9 g/cm³
Energy above the lowest structure with this stoichiometry: 219 meV per atom

Cell and atoms, written as CIF:
```
data_YZr2Mn
_chemical_formula_sum 'Y4 Zr8 Mn4'
_space_group_name_H-M_alt 'F -4 3 m'
_space_group_IT_number 216
_space_group_name_Hall 'F -4 2 3'
_cell_length_a 7.175
_cell_length_b 7.175
_cell_length_c 7.175
_cell_angle_alpha 90.00
_cell_angle_beta 90.00
_cell_angle_gamma 90.00
loop_
_atom_site_label
_atom_site_fract_x
_atom_site_fract_y
_atom_site_fract_z
Y1 0.000 0.000 0.000
Zr1 0.000 0.000 0.500
Zr2 0.250 0.250 0.250
Mn1 0.250 0.250 0.750
```

(6)
This record from the Alexandria database describes crystalline YZr2Mn at its relaxed geometry. The functional is PBE-GGA.

Results
ΔE_f: 0.2028 eV/atom
Calculated density: 5.8 g/cm³
Energy above the lowest structure with this stoichiometry: 125 meV per atom

Cell and atoms, written as CIF:
```
data_YZr2Mn
_chemical_formula_sum 'Y2 Zr4 Mn2'
_space_group_name_H-M_alt 'A m m 2'
_space_group_IT_number 38
_cell_length_a 4.729
_cell_length_b 3.287
_cell_length_c 11.973
_cell_angle_alpha 90.00
_cell_angle_beta 90.00
_cell_angle_gamma 90.00
loop_
_space_group_symop_operation_xyz
'x,y,z'
'-x,-y,z'
'-x,y,z'
'x,-y,z'
'x,y+1/2,z+1/2'
'-x,-y+1/2,z+1/2'
'-x,y+1/2,z+1/2'
'x,-y+1/2,z+1/2'
loop_
_atom_site_label
_atom_site_fract_x
_atom_site_fract_y
_atom_site_fract_z
Y1 0.000 0.000 0.000
Zr1 0.000 0.000 0.264
Zr2 0.500 0.000 0.667
Mn1 0.500 0.000 0.388
```